A geometry-optimized Y3ScBr structure. Source: Alexandria via LeMat-Bulk, functional PBE.

Cell: 5.3801 5.3801 5.3801 Å, 90.00 90.00 90.00°
Last column: nearest neighbours and their distance in Å.
Fractional positions:
Y  0.0000  0.0000  0.5000  2 Br 2.69
Y  0.0000  0.5000  0.0000  2 Br 2.69
Y  0.5000  0.0000  0.0000  2 Br 2.69
Sc  0.5000  0.5000  0.5000  12 Y 3.80
Br  0.0000  0.0000  0.0000  6 Y 2.69

Calculated values
SG: No. 221
E_tot, eV/atom: -5.605

A geometry-optimized YScBr2 structure. Source: Alexandria via LeMat-Bulk, functional PBE.

Cell: 4.9923 4.9923 3.5579 Å, 90.00 90.00 90.00°
Last column: nearest neighbours and their distance in Å.
Fractional positions:
Y  0.0000  0.0000  0.0000  8 Br 3.07
Sc  0.5000  0.5000  0.0000  8 Br 3.07
Br  0.0000  0.5000  0.5000  4 Sc 3.07, 4 Y 3.07
Br  0.5000  0.0000  0.5000  4 Sc 3.07, 4 Y 3.07

Calculated values
SG: No. 123
E_tot, eV/atom: -4.709

A geometry-optimized YSc4Br structure. Source: Alexandria via LeMat-Bulk, functional PBE.

Cell: 6.2017 6.2017 6.2017 Å, 60.00 60.00 60.00°
Last column: nearest neighbours and their distance in Å.
Fractional positions:
Y  0.0000  0.0000  0.0000  12 Sc 3.63, 4 Br 3.80
Sc  0.3723  0.3723  0.3723  6 Sc 3.03-3.17
Sc  0.3723  0.3723  0.8832  6 Sc 3.03-3.17
Sc  0.3723  0.8832  0.3723  6 Sc 3.03-3.17
Sc  0.8832  0.3723  0.3723  6 Sc 3.03-3.17
Br  0.7500  0.7500  0.7500  12 Sc 3.64, 4 Y 3.80

Calculated values
SG: No. 216
E_tot, eV/atom: -5.332

Calculated formation energy (no corrections) (eV per formula unit), listed in the same order as above: -0.63, -2.69, 1.47
Calculated N(E_F) (states/eV per cell), listed in the same order as above: 8.0, 1.6, 7.2